1.
## Dy2Y7Tm3 (PBE-GGA)

Data for crystalline Dy2Y7Tm3 at its relaxed geometry.

Unit cell a=6.315 b=3.504 c=17.368 alpha=90.00 beta=96.12 gamma=90.00
Fractional coordinates of all 12 atoms:
Dy: 0.062 0.000 0.173
Dy: 0.938 0.000 0.827
Y: 0.000 0.500 0.500
Y: 0.226 0.000 0.669
Y: 0.256 0.000 0.998
Y: 0.276 0.500 0.334
Y: 0.724 0.500 0.666
Y: 0.744 0.000 0.002
Y: 0.774 0.000 0.331
Tm: 0.450 0.500 0.843
Tm: 0.500 0.000 0.500
Tm: 0.550 0.500 0.157

Crystal system: monoclinic
E_form in meV per atom: 81
Total moment in μB/cell: 0.00
Distance to the lowest polymorph of the same formula in eV per atom: 0.000
Fermi-level density of states in states/eV/atom: 1.556

---

2.
## YHo2In (PBE-GGA)

Data for crystalline YHo2In at its relaxed geometry.

Unit cell a=4.828 b=4.828 c=4.853 alpha=90.00 beta=90.00 gamma=90.00
Fractional coordinates of all 4 atoms:
Y: 0.000 0.000 0.000
Ho: 0.000 0.500 0.500
Ho: 0.500 0.000 0.500
In: 0.500 0.500 0.000

Crystal system: tetragonal
E_form in meV per atom: -267
Total moment in μB/cell: 0.00
Distance to the lowest polymorph of the same formula in eV per atom: 0.000
Fermi-level density of states in states/eV/atom: 1.486

---

3.
## KTl2WS4 (PBE-GGA)

Data for crystalline KTl2WS4 at its relaxed geometry.

Unit cell a=8.125 b=8.125 c=7.898 alpha=90.00 beta=90.00 gamma=90.00
Fractional coordinates of all 16 atoms:
K: 0.000 0.000 0.000
K: 0.500 0.500 0.500
Tl: 0.000 0.000 0.500
Tl: 0.000 0.500 0.750
Tl: 0.500 0.000 0.250
Tl: 0.500 0.500 0.000
W: 0.000 0.500 0.250
W: 0.500 0.000 0.750
S: 0.156 0.662 0.414
S: 0.162 0.344 0.086
S: 0.338 0.156 0.586
S: 0.344 0.838 0.914
S: 0.656 0.162 0.914
S: 0.662 0.844 0.586
S: 0.838 0.656 0.086
S: 0.844 0.338 0.414

Crystal system: tetragonal
Total moment in μB/cell: 1.92
Total DFT energy (no corrections) in eV/atom: -4.97
Fermi-level density of states in states/eV/atom: 0.525